Computed, not measured: a relaxed structure of Fe3AgMo at the PBE-GGA level of DFT.

The space group is Pm-3m (No. 221) and the conventional cell measures 4.6340, 4.6340 and 4.6340 Å, with angles of 90.00, 90.00 and 90.00 degrees. The inequivalent atoms are Fe at (0.0000, 0.0000, 0.5000), Ag at (0.0000, 0.0000, 0.0000) and Mo at (0.5000, 0.5000, 0.5000).

As for the total energy: -5.8765 eV/atom. The excess energy over the best structure of this formula in the dataset comes out at 0.504 eV/atom.

---

Computed, not measured: a relaxed structure of FeAgMo2 at the PBE-GGA level of DFT.

The space group is F-43m (No. 216) and the conventional cell measures 6.2845, 6.2845 and 6.2845 Å, with angles of 90.00, 90.00 and 90.00 degrees. The inequivalent atoms are Fe at (0.0000, 0.0000, 0.0000), Ag at (0.2500, 0.2500, 0.2500), Mo at (0.0000, 0.0000, 0.5000) and Mo at (0.2500, 0.2500, 0.7500).

As for the total energy: -7.6717 eV/atom. The excess energy over the best structure of this formula in the dataset comes out at 0.313 eV/atom.

---

Computed, not measured: a relaxed structure of FeAgMo2 at the PBE-GGA level of DFT.

The space group is Cm (No. 8) and the conventional cell measures 9.1995, 2.6342 and 5.0937 Å, with angles of 90.00, 96.21 and 90.00 degrees. The inequivalent atoms are Fe at (0.0000, 0.0000, 0.0000), Ag at (0.2467, 0.5000, 0.2364), Mo at (0.2561, 0.0000, 0.7495) and Mo at (0.4968, 0.0000, 0.5035).

As for the total energy: -7.7978 eV/atom. The excess energy over the best structure of this formula in the dataset comes out at 0.187 eV/atom.

---

Computed, not measured: a relaxed structure of FeAgMo2 at the PBE-GGA level of DFT.

The space group is Pm (No. 6) and the conventional cell measures 2.6340, 4.4488 and 5.2719 Å, with angles of 90.00, 97.12 and 90.00 degrees. The inequivalent atoms are Fe at (0.0000, 0.0000, 0.0000), Ag at (0.0926, 0.5000, 0.7323), Mo at (0.4726, 0.0000, 0.4744) and Mo at (0.6869, 0.5000, 0.2175).

As for the total energy: -7.8601 eV/atom. The excess energy over the best structure of this formula in the dataset comes out at 0.125 eV/atom.

---

Computed, not measured: a relaxed structure of FeAgMo2 at the PBE-GGA level of DFT.

The space group is Cmmm (No. 65) and the conventional cell measures 5.3749, 8.5582 and 2.6424 Å, with angles of 90.00, 90.00 and 90.00 degrees. The inequivalent atoms are Fe at (0.0000, 0.0000, 0.0000), Ag at (0.0000, 0.5000, 0.0000) and Mo at (0.2500, 0.2500, 0.5000).

As for the total energy: -7.7958 eV/atom. The excess energy over the best structure of this formula in the dataset comes out at 0.189 eV/atom.

---

Computed, not measured: a relaxed structure of FeAgMo2 at the PBE-GGA level of DFT.

The space group is Immm (No. 71) and the conventional cell measures 3.1882, 4.2690 and 8.9433 Å, with angles of 90.00, 90.00 and 90.00 degrees. The inequivalent atoms are Fe at (0.0000, 0.0000, 0.0000), Ag at (0.0000, 0.0000, 0.5000) and Mo at (0.0000, 0.5000, 0.2680).

As for the total energy: -7.8092 eV/atom. The excess energy over the best structure of this formula in the dataset comes out at 0.176 eV/atom.

---

Computed, not measured: a relaxed structure of FeAgMo4 at the PBE-GGA level of DFT.

The space group is F-43m (No. 216) and the conventional cell measures 7.3501, 7.3501 and 7.3501 Å, with angles of 90.00, 90.00 and 90.00 degrees. The inequivalent atoms are Fe at (0.0000, 0.0000, 0.0000), Ag at (0.2500, 0.2500, 0.7500) and Mo at (0.1247, 0.1247, 0.3753).

As for the total energy: -8.5313 eV/atom.

---

Computed, not measured: a relaxed structure of FeAgMo2 at the PBE-GGA level of DFT.

The space group is Pmmm (No. 47) and the conventional cell measures 3.7542, 3.8262 and 4.2102 Å, with angles of 90.00, 90.00 and 90.00 degrees. The inequivalent atoms are Fe at (0.0000, 0.0000, 0.0000), Ag at (0.5000, 0.5000, 0.0000), Mo at (0.0000, 0.5000, 0.5000) and Mo at (0.5000, 0.0000, 0.5000).

As for the total energy: -7.8088 eV/atom. The excess energy over the best structure of this formula in the dataset comes out at 0.176 eV/atom.

---

Computed, not measured: a relaxed structure of FeAgMo2 at the PBE-GGA level of DFT.

The space group is I-4m2 (No. 119) and the conventional cell measures 4.0046, 4.0046 and 7.6188 Å, with angles of 90.00, 90.00 and 90.00 degrees. The inequivalent atoms are Fe at (0.0000, 0.0000, 0.0000), Ag at (0.0000, 0.5000, 0.2500), Mo at (0.0000, 0.0000, 0.5000) and Mo at (0.0000, 0.5000, 0.7500).

As for the total energy: -7.7499 eV/atom. The excess energy over the best structure of this formula in the dataset comes out at 0.235 eV/atom.

---

Computed, not measured: a relaxed structure of FeAgMo2 at the PBE-GGA level of DFT.

The space group is P4/mmm (No. 123) and the conventional cell measures 2.7053, 2.7053 and 8.1199 Å, with angles of 90.00, 90.00 and 90.00 degrees. The inequivalent atoms are Fe at (0.0000, 0.0000, 0.0000), Ag at (0.0000, 0.0000, 0.5000) and Mo at (0.5000, 0.5000, 0.2147).

As for the total energy: -7.9298 eV/atom. The excess energy over the best structure of this formula in the dataset comes out at 0.055 eV/atom.

---

Computed, not measured: a relaxed structure of FeAgMo2 at the PBE-GGA level of DFT.

The space group is Fm-3m (No. 225) and the conventional cell measures 6.2614, 6.2614 and 6.2614 Å, with angles of 90.00, 90.00 and 90.00 degrees. The inequivalent atoms are Fe at (0.0000, 0.0000, 0.0000), Ag at (0.0000, 0.0000, 0.5000) and Mo at (0.2500, 0.2500, 0.2500).

As for the total energy: -7.5587 eV/atom. The excess energy over the best structure of this formula in the dataset comes out at 0.426 eV/atom.

---

Computed, not measured: a relaxed structure of FeAgMo2 at the PBE-GGA level of DFT.

The space group is Imm2 (No. 44) and the conventional cell measures 3.3870, 4.4032 and 8.2748 Å, with angles of 90.00, 90.00 and 90.00 degrees. The inequivalent atoms are Fe at (0.0000, 0.0000, 0.0000), Ag at (0.0000, 0.5000, 0.7569), Mo at (0.0000, 0.0000, 0.5296) and Mo at (0.0000, 0.5000, 0.2642).

As for the total energy: -7.7493 eV/atom. The excess energy over the best structure of this formula in the dataset comes out at 0.236 eV/atom.

---

Computed, not measured: a relaxed structure of Fe3AgMo at the PBE-GGA level of DFT.

The space group is Pm-3m (No. 221) and the conventional cell measures 4.4649, 4.4649 and 4.4649 Å, with angles of 90.00, 90.00 and 90.00 degrees. The inequivalent atoms are Fe at (0.0000, 0.0000, 0.5000), Ag at (0.5000, 0.5000, 0.5000) and Mo at (0.0000, 0.0000, 0.0000).

As for the total energy: -6.3809 eV/atom. The excess energy over the best structure of this formula in the dataset comes out at 0.000 eV/atom.

---

Computed, not measured: a relaxed structure of FeAgMo2 at the PBE-GGA level of DFT.

The space group is Cmmm (No. 65) and the conventional cell measures 3.2105, 4.2124 and 9.0001 Å, with angles of 90.00, 90.00 and 90.00 degrees. The inequivalent atoms are Fe at (0.0000, 0.0000, 0.0000), Ag at (0.0000, 0.0000, 0.5000) and Mo at (0.0000, 0.5000, 0.2287).

As for the total energy: -7.9321 eV/atom. The excess energy over the best structure of this formula in the dataset comes out at 0.053 eV/atom.

---

Computed, not measured: a relaxed structure of FeAgMo2 at the PBE-GGA level of DFT.

The space group is I-42d (No. 122) and the conventional cell measures 3.7287, 3.7287 and 18.5583 Å, with angles of 90.00, 90.00 and 90.00 degrees. The inequivalent atoms are Fe at (0.0000, 0.0000, 0.0000), Ag at (0.0000, 0.0000, 0.5000) and Mo at (0.2253, 0.2500, 0.1250).

As for the total energy: -7.2451 eV/atom. The excess energy over the best structure of this formula in the dataset comes out at 0.740 eV/atom.

---

Computed, not measured: a relaxed structure of FeAgMo2 at the PBE-GGA level of DFT.

The space group is R-3m (No. 166, hexagonal axes) and the conventional cell measures 2.7421, 2.7421 and 27.8049 Å, with angles of 90.00, 90.00 and 120.00 degrees. The inequivalent atoms are Fe at (0.0000, 0.0000, 0.0000), Ag at (0.0000, 0.0000, 0.5000) and Mo at (0.0000, 0.0000, 0.2584).

As for the total energy: -7.8344 eV/atom. The excess energy over the best structure of this formula in the dataset comes out at 0.151 eV/atom.

---

Computed, not measured: a relaxed structure of FeAgMo2 at the PBE-GGA level of DFT.

The space group is P4mm (No. 99) and the conventional cell measures 3.2092, 3.2092 and 6.0291 Å, with angles of 90.00, 90.00 and 90.00 degrees. The inequivalent atoms are Fe at (0.0000, 0.0000, 0.0000), Ag at (0.5000, 0.5000, 0.7522), Mo at (0.0000, 0.0000, 0.4587) and Mo at (0.5000, 0.5000, 0.2301).

As for the total energy: -7.8522 eV/atom. The excess energy over the best structure of this formula in the dataset comes out at 0.133 eV/atom.

---

Computed, not measured: a relaxed structure of FeAgMo2 at the PBE-GGA level of DFT.

The space group is P2/m (No. 10) and the conventional cell measures 2.6539, 4.2731 and 5.4459 Å, with angles of 90.00, 98.60 and 90.00 degrees. The inequivalent atoms are Fe at (0.0000, 0.0000, 0.0000), Ag at (0.0000, 0.0000, 0.5000) and Mo at (0.4539, 0.5000, 0.2253).

As for the total energy: -7.8562 eV/atom. The excess energy over the best structure of this formula in the dataset comes out at 0.129 eV/atom.

---

Computed, not measured: a relaxed structure of FeAgMo2 at the PBE-GGA level of DFT.

The space group is Pmmm (No. 47) and the conventional cell measures 2.7441, 3.8290 and 5.6753 Å, with angles of 90.00, 90.00 and 90.00 degrees. The inequivalent atoms are Fe at (0.0000, 0.0000, 0.0000), Ag at (0.0000, 0.0000, 0.5000) and Mo at (0.5000, 0.5000, 0.2168).

As for the total energy: -7.8482 eV/atom. The excess energy over the best structure of this formula in the dataset comes out at 0.137 eV/atom.

---

Computed, not measured: a relaxed structure of FeAgMo2 at the PBE-GGA level of DFT.

The space group is C2/m (No. 12) and the conventional cell measures 5.3390, 8.9292 and 2.6279 Å, with angles of 90.00, 102.21 and 90.00 degrees. The inequivalent atoms are Fe at (0.0000, 0.0000, 0.0000), Ag at (0.0000, 0.5000, 0.0000) and Mo at (0.2500, 0.2500, 0.5000).

As for the total energy: -7.8054 eV/atom. The excess energy over the best structure of this formula in the dataset comes out at 0.180 eV/atom.